No. 1
# TaNi4Pt3

An optimized crystal structure of TaNi4Pt3 (PBE, Alexandria via LeMat-Bulk).

The crystal system is orthorhombic. The energy above the lowest structure with this stoichiometry comes out at 14.2 kJ/mol of atoms. For the density of states at the Fermi level, the calculation gives 22.87 states/eV per cell.

The structure belongs to space group Immm (No. 71); the cell edges are 2.709, 8.221 and 10.233 Å and the angles 90.00°, 90.00° and 90.00°. The asymmetric unit holds Ta at (0.000, 0.000, 0.000), Ni at (0.000, 0.261, 0.122), Pt at (0.000, 0.000, 0.500) and Pt at (0.000, 0.500, 0.276).


No. 2
# TaNi8Pt2

An optimized crystal structure of TaNi8Pt2 (PBE, Alexandria via LeMat-Bulk).

The crystal system is monoclinic. For the density of states at the Fermi level, the calculation gives 35.50 states/eV per cell.

The structure belongs to space group C2/m (No. 12); the cell edges are 6.676, 12.587 and 4.375 Å and the angles 90.00°, 130.87° and 90.00°. The asymmetric unit holds Ta at (0.000, 0.000, 0.000), Ni at (0.000, 0.198, 0.000), Ni at (0.003, 0.500, 0.254), Ni at (0.230, 0.131, 0.732) and Pt at (0.000, 0.318, 0.500).


No. 3
# Ta2Ni3Pt4

An optimized crystal structure of Ta2Ni3Pt4 (PBE, Alexandria via LeMat-Bulk).

The crystal system is monoclinic. For the density of states at the Fermi level, the calculation gives 15.90 states/eV per cell.

The structure belongs to space group C2/m (No. 12); the cell edges are 8.783, 3.875 and 8.123 Å and the angles 90.00°, 109.84° and 90.00°. The asymmetric unit holds Ta at (0.174, 0.000, 0.233), Ni at (0.000, 0.500, 0.000), Ni at (0.165, 0.000, 0.552), Pt at (0.012, 0.500, 0.337) and Pt at (0.163, 0.000, 0.888).


No. 4
# TaNiPt

An optimized crystal structure of TaNiPt (PBE, Alexandria via LeMat-Bulk).

The crystal system is cubic. The energy above the lowest structure with this stoichiometry comes out at 48.3 kJ/mol of atoms. For the density of states at the Fermi level, the calculation gives 20.38 states/eV per cell.

The structure belongs to space group F-43m (No. 216); the cell edges are 5.833, 5.833 and 5.833 Å and the angles 90.00°, 90.00° and 90.00°. The asymmetric unit holds Ta at (0.000, 0.000, 0.000), Ni at (0.250, 0.250, 0.750) and Pt at (0.000, 0.000, 0.500).


No. 5
# TaNi2Pt8

An optimized crystal structure of TaNi2Pt8 (PBE, Alexandria via LeMat-Bulk).

The crystal system is monoclinic. For the density of states at the Fermi level, the calculation gives 30.78 states/eV per cell.

The structure belongs to space group C2/m (No. 12); the cell edges are 14.059, 3.951 and 6.231 Å and the angles 90.00°, 106.54° and 90.00°. The asymmetric unit holds Ta at (0.000, 0.000, 0.000), Ni at (0.224, 0.500, 0.631), Pt at (0.046, 0.500, 0.728), Pt at (0.098, 0.000, 0.450), Pt at (0.138, 0.500, 0.187) and Pt at (0.182, 0.000, 0.917).


No. 6
# TaNi2Pt

An optimized crystal structure of TaNi2Pt (PBE, Alexandria via LeMat-Bulk).

The crystal system is monoclinic. For the density of states at the Fermi level, the calculation gives 9.21 states/eV per cell.

The structure belongs to space group C2/m (No. 12); the cell edges are 8.706, 2.775 and 4.738 Å and the angles 90.00°, 100.90° and 90.00°. The asymmetric unit holds Ta at (0.000, 0.000, 0.000), Ni at (0.249, 0.000, 0.758) and Pt at (0.000, 0.500, 0.500).


No. 7
# Ta2Ni5Pt2

An optimized crystal structure of Ta2Ni5Pt2 (PBE, Alexandria via LeMat-Bulk).

The crystal system is triclinic. For the density of states at the Fermi level, the calculation gives 7.69 states/eV per cell.

The structure belongs to space group P-1 (No. 2); the cell edges are 4.875, 5.318 and 5.591 Å and the angles 75.73°, 74.43° and 63.91°. The asymmetric unit holds Ta at (0.180, 0.322, 0.301), Ni at (0.112, 0.884, 0.295), Ni at (0.267, 0.677, 0.899), Ni at (0.500, 0.500, 0.500) and Pt at (0.306, 0.176, 0.835).


No. 8
# TaNi4Pt2

An optimized crystal structure of TaNi4Pt2 (PBE, Alexandria via LeMat-Bulk).

The crystal system is tetragonal. The energy above the lowest structure with this stoichiometry comes out at 92.5 kJ/mol of atoms. For the density of states at the Fermi level, the calculation gives 10.48 states/eV per cell.

The structure belongs to space group I4/mmm (No. 139); the cell edges are 4.444, 4.444 and 12.243 Å and the angles 90.00°, 90.00° and 90.00°. The asymmetric unit holds Ta at (0.000, 0.000, 0.000), Ni at (0.000, 0.000, 0.188), Ni at (0.000, 0.500, 0.000) and Pt at (0.000, 0.000, 0.388).


| no. | calculated volume (Å³/f.u.) | DFT formation energy (eV per atom) |
| --- | --- | --- |
| 1 | 114.0 | -0.05 |
| 2 | 139.0 | -0.02 |
| 3 | 130.0 | -0.56 |
| 4 | 49.6 | -0.07 |
| 5 | 165.9 | -0.32 |
| 6 | 56.2 | -0.27 |
| 7 | 124.0 | -0.25 |
| 8 | 120.9 | 0.85 |